NbNi2Mo: relaxed, GGA-PBE.

The structure in CIF format:
```
data_NbNi2Mo
_chemical_formula_sum 'Nb4 Ni8 Mo4'
_cell_length_a 6.077
_cell_length_b 6.077
_cell_length_c 6.077
_cell_angle_alpha 90.00
_cell_angle_beta 90.00
_cell_angle_gamma 90.00
_space_group_name_H-M_alt 'F -4 3 m'
_space_group_IT_number 216
_space_group_name_Hall 'F -4 2 3'
loop_
_atom_site_label
_atom_site_fract_x
_atom_site_fract_y
_atom_site_fract_z
Nb1 0.000 0.000 0.000
Ni1 0.000 0.000 0.500
Ni2 0.250 0.250 0.750
Mo1 0.250 0.250 0.250
```

Results
The formation energy comes out at 15.2 kJ/mol of atoms.